Below is crystalline YSc2I at its relaxed geometry, with properties calculated at the PBE-GGA level.

Properties
distance to the lowest polymorph of the same formula: 249 meV per atom
ΔE_f (raw): 0.025 eV/atom
DFT total energy: -5.1445 eV/atom

Cell: 8.629 8.629 6.201 Å, 90.00 90.00 90.00°
Space group I-42d (No. 122)
Symmetry-distinct sites (fractional):
Y: 0.000 0.000 0.000 [4 per cell]
Sc: 0.197 0.250 0.625 [8 per cell]
I: 0.000 0.000 0.500 [4 per cell]

***

Below is crystalline NbGaRh2Pb at its relaxed geometry, with properties calculated at the PBE-GGA level.

Properties
formation enthalpy at 0 K: 1.56 eV/atom
DFT total energy: -4.7425 eV/atom

Cell: 4.879 4.879 4.980 Å, 90.00 90.00 90.00°
Space group P4/mmm (No. 123)
Symmetry-distinct sites (fractional):
Nb: 0.000 0.000 0.000 [1 per cell]
Ga: 0.500 0.500 0.000 [1 per cell]
Rh: 0.000 0.500 0.500 [2 per cell]
Pb: 0.500 0.500 0.500 [1 per cell]

***

Below is crystalline GeRuN at its relaxed geometry, with properties calculated at the PBE-GGA level.

Properties
distance to the lowest polymorph of the same formula: 43 meV per atom
ΔE_f (raw): 0.149 eV/atom
DFT total energy: -7.2569 eV/atom

Cell: 10.805 2.935 5.097 Å, 90.00 99.76 90.00°
Space group Cm (No. 8)
Symmetry-distinct sites (fractional):
Ge: 0.000 0.000 0.000 [2 per cell]
Ge: 0.189 0.000 0.716 [2 per cell]
Ru: 0.253 0.500 0.372 [2 per cell]
Ru: 0.481 0.000 0.588 [2 per cell]
N: 0.181 0.000 0.102 [2 per cell]
N: 0.429 0.500 0.311 [2 per cell]

***

Below is crystalline LaW at its relaxed geometry, with properties calculated at the PBE-GGA level.

Properties
distance to the lowest polymorph of the same formula: 685 meV per atom
formation enthalpy at 0 K: 1.03 eV/atom
DFT total energy: -7.9111 eV/atom

Cell: 2.9705 2.9705 17.5096 Å, 90.00 90.00 120.00°
Space group R-3m (No. 166, hexagonal axes)
Symmetry-distinct sites (fractional):
La: 0.0000 0.0000 0.0000 [3 per cell]
W: 0.0000 0.0000 0.5000 [3 per cell]

***

Below is crystalline ErMnNiPt at its relaxed geometry, with properties calculated at the PBE-GGA level.

Properties
formation enthalpy at 0 K: -0.47 eV/atom
DFT total energy: -6.8626 eV/atom

Cell: 6.486 6.486 6.486 Å, 90.00 90.00 90.00°
Space group F-43m (No. 216)
Symmetry-distinct sites (fractional):
Er: 0.000 0.000 0.000 [4 per cell]
Mn: 0.000 0.000 0.500 [4 per cell]
Ni: 0.250 0.250 0.750 [4 per cell]
Pt: 0.250 0.250 0.250 [4 per cell]

***

Below is crystalline Cr2TePb at its relaxed geometry, with properties calculated at the PBE-GGA level.

Properties
distance to the lowest polymorph of the same formula: 136 meV per atom
ΔE_f (raw): 0.394 eV/atom
DFT total energy: -6.1303 eV/atom

Cell: 3.7623 3.7623 22.8018 Å, 90.00 90.00 120.00°
Space group R-3m (No. 166, hexagonal axes)
Symmetry-distinct sites (fractional):
Cr: 0.0000 0.0000 0.2435 [6 per cell]
Te: 0.0000 0.0000 0.5000 [3 per cell]
Pb: 0.0000 0.0000 0.0000 [3 per cell]

***

Below is crystalline K2VReN4 at its relaxed geometry, with properties calculated at the PBE-GGA level.

Properties
ΔE_f (raw): -0.437 eV/atom
DFT total energy: -7.5698 eV/atom

Cell: 6.019 6.578 6.809 Å, 90.00 90.00 90.00°
Space group Pmmn (No. 59, origin choice 2)
Symmetry-distinct sites (fractional):
K: 0.250 0.001 0.206 [4 per cell]
V: 0.250 0.750 0.657 [2 per cell]
Re: 0.250 0.250 0.655 [2 per cell]
N: 0.000 0.250 0.496 [4 per cell]
N: 0.250 0.002 0.795 [4 per cell]

***

Below is crystalline Tb5Dy2Y6 at its relaxed geometry, with properties calculated at the PBE-GGA level.

Properties
formation enthalpy at 0 K: 0.10 eV/atom
DFT total energy: -5.3732 eV/atom

Cell: 11.667 20.324 3.577 Å, 90.00 90.00 90.00°
Space group Pbam (No. 55)
Symmetry-distinct sites (fractional):
Tb: 0.000 0.000 0.000 [2 per cell]
Tb: 0.088 0.272 0.000 [4 per cell]
Tb: 0.199 0.549 0.000 [4 per cell]
Dy: 0.168 0.709 0.500 [4 per cell]
Y: 0.058 0.419 0.500 [4 per cell]
Y: 0.084 0.131 0.500 [4 per cell]
Y: 0.174 0.864 0.000 [4 per cell]

***

Below is crystalline BHRu at its relaxed geometry, with properties calculated at the PBE-GGA level.

Properties
distance to the lowest polymorph of the same formula: 381 meV per atom
DFT total energy: -6.1678 eV/atom

Cell: 2.883 2.883 5.919 Å, 90.00 90.00 90.00°
Space group I4mm (No. 107)
Symmetry-distinct sites (fractional):
B: 0.000 0.000 0.000 [2 per cell]
H: 0.000 0.000 0.766 [2 per cell]
Ru: 0.000 0.000 0.352 [2 per cell]

***

Below is crystalline EuSn2Hg at its relaxed geometry, with properties calculated at the PBE-GGA level.

Properties
distance to the lowest polymorph of the same formula: 0 meV per atom
formation enthalpy at 0 K: -0.44 eV/atom
DFT total energy: -5.0856 eV/atom

Cell: 4.767 4.767 4.663 Å, 90.00 90.00 90.00°
Space group P4/mmm (No. 123)
Symmetry-distinct sites (fractional):
Eu: 0.000 0.000 0.000 [1 per cell]
Sn: 0.000 0.500 0.500 [2 per cell]
Hg: 0.500 0.500 0.000 [1 per cell]

***

Below is crystalline MgAl2SnO6 at its relaxed geometry, with properties calculated at the PBE-GGA level.

Properties
ΔE_f (raw): -2.506 eV/atom
DFT total energy: -6.7893 eV/atom

Cell: 5.0680 5.0680 13.5401 Å, 90.00 90.00 120.00°
Space group R3 (No. 146, hexagonal axes)
Symmetry-distinct sites (fractional):
Mg: 0.0000 0.0000 0.0000 [3 per cell]
Al: 0.0000 0.0000 0.2898 [3 per cell]
Al: 0.0000 0.0000 0.7862 [3 per cell]
Sn: 0.0000 0.0000 0.4981 [3 per cell]
O: 0.0148 0.3835 0.5535 [9 per cell]
O: 0.0153 0.6286 0.0535 [9 per cell]

***

Below is crystalline Pr4TePb2 at its relaxed geometry, with properties calculated at the PBE-GGA level.

Properties
distance to the lowest polymorph of the same formula: 0 meV per atom
ΔE_f (raw): -0.804 eV/atom
DFT total energy: -5.0431 eV/atom

Cell: 9.694 9.694 9.683 Å, 90.00 90.00 90.00°
Space group I-42d (No. 122)
Symmetry-distinct sites (fractional):
Pr: 0.072 0.682 0.447 [16 per cell]
Te: 0.000 0.000 0.500 [4 per cell]
Pb: 0.125 0.750 0.125 [8 per cell]

***

Below is crystalline DyHo2Cd3 at its relaxed geometry, with properties calculated at the PBE-GGA level.

Properties
formation enthalpy at 0 K: -0.32 eV/atom
DFT total energy: -3.0697 eV/atom

Cell: 5.2731 5.2731 6.4788 Å, 90.00 90.00 120.00°
Space group P-3m1 (No. 164)
Symmetry-distinct sites (fractional):
Dy: 0.0000 0.0000 0.0000 [1 per cell]
Ho: 0.3333 0.6667 0.6653 [2 per cell]
Cd: 0.0000 0.0000 0.5000 [1 per cell]
Cd: 0.3333 0.6667 0.1664 [2 per cell]

***

Below is crystalline Tl2InRu at its relaxed geometry, with properties calculated at the PBE-GGA level.

Properties
distance to the lowest polymorph of the same formula: 45 meV per atom
formation enthalpy at 0 K: 0.24 eV/atom
DFT total energy: -3.9512 eV/atom

Cell: 3.279 3.279 8.788 Å, 90.00 90.00 90.00°
Space group P4mm (No. 99)
Symmetry-distinct sites (fractional):
Tl: 0.000 0.000 0.000 [1 per cell]
Tl: 0.500 0.500 0.319 [1 per cell]
In: 0.000 0.000 0.623 [1 per cell]
Ru: 0.500 0.500 0.796 [1 per cell]

***

Below is crystalline SmHo2Tl2 at its relaxed geometry, with properties calculated at the PBE-GGA level.

Properties
distance to the lowest polymorph of the same formula: 0 meV per atom
formation enthalpy at 0 K: -0.28 eV/atom
DFT total energy: -4.0034 eV/atom

Cell: 5.281 6.642 9.175 Å, 103.20 90.05 113.29°
Space group P-1 (No. 2)
Symmetry-distinct sites (fractional):
Sm: 0.067 0.132 0.353 [2 per cell]
Ho: 0.251 0.503 0.752 [2 per cell]
Ho: 0.430 0.861 0.140 [2 per cell]
Tl: 0.137 0.272 0.040 [2 per cell]
Tl: 0.364 0.730 0.449 [2 per cell]